1.
# PdBr2F8

Crystalline PdBr2F8 at its relaxed geometry (PBE, the Alexandria database).

Cell and atoms, written as POSCAR:
```
PdBr2F8
1.0
-1.1937 -1.8938 -4.9390
-5.5220 -2.8203 1.8116
-5.8779 2.6717 -0.2086
F Pd Br
8 1 2
Direct
0.6252 0.5973 0.5973 F
0.0953 0.3340 0.8801 F
0.3399 0.9197 0.9197 F
0.9047 0.6660 0.1199 F
0.9048 0.1199 0.6660 F
0.0952 0.8801 0.3340 F
0.6601 0.0803 0.0803 F
0.3748 0.4027 0.4027 F
0.0000 0.0000 0.0000 Pd
0.5239 0.2571 0.2571 Br
0.4761 0.7429 0.7429 Br
```

Computed properties:
The raw total energy is -3.024 eV/atom. For the uncorrected formation energy, the calculation gives -0.887 eV per atom. The space group is C2/m.


2.
# SrAgBr3

Crystalline SrAgBr3 at its relaxed geometry (PBE, the Alexandria database).

Cell and atoms, written as POSCAR:
```
SrAgBr3
1.0
-3.7231 1.7868 6.7655
4.5935 -6.1837 5.7595
5.8387 7.0513 2.9493
Ag Br Sr
4 12 4
Direct
0.2798 0.4695 0.2991 Ag
0.7202 0.5305 0.7009 Ag
0.7798 0.2991 0.4695 Ag
0.2202 0.7009 0.5305 Ag
0.1177 0.6297 0.1197 Br
0.6263 0.7965 0.9703 Br
0.6203 0.4532 0.2846 Br
0.3737 0.2035 0.0297 Br
0.3797 0.5468 0.7154 Br
0.8737 0.0297 0.2035 Br
0.3823 0.8803 0.3703 Br
0.8797 0.7154 0.5468 Br
0.1203 0.2846 0.4532 Br
0.8823 0.3703 0.8803 Br
0.1263 0.9703 0.7965 Br
0.6177 0.1197 0.6297 Br
0.7500 0.7387 0.2613 Sr
0.2500 0.2613 0.7387 Sr
0.7500 0.0858 0.9142 Sr
0.2500 0.9142 0.0858 Sr
```

Computed properties:
The raw total energy is -3.299 eV/atom. For the energy above the most stable polymorph in this dataset, the calculation gives 0.0 meV/atom. For the uncorrected formation energy, the calculation gives -1.389 eV per atom. The space group is C2/c.


| no. | magnetization (μB/f.u.) |
| --- | --- |
| 1 | 0.84 |
| 2 | 0.00 |